1.
This record from Alexandria describes Y2BN at its PBEsol-relaxed geometry. The functional is meta-GGA SCAN.

Results
* total moment: 1.57 μB/f.u.
* energy relative to the elements, uncorrected: -0.042 eV/atom
* calculated total energy: -1.334 Ry per atom
* volume: 238.1 Å³/cell

Geometry as CIF:
```
data_Y2BN
_chemical_formula_sum 'Y8 B4 N4'
_cell_length_a 6.1977
_cell_length_b 6.1977
_cell_length_c 6.1977
_cell_angle_alpha 90.00
_cell_angle_beta 90.00
_cell_angle_gamma 90.00
_symmetry_space_group_name_H-M 'F m -3 m'
_symmetry_Int_Tables_number 225
_symmetry_space_group_name_Hall '-F 4 2 3'
loop_
_atom_site_label
_atom_site_fract_x
_atom_site_fract_y
_atom_site_fract_z
Y1 0.2500 0.2500 0.2500
B1 0.0000 0.0000 0.0000
N1 0.0000 0.0000 0.5000
```

---

2.
This record from Alexandria describes ZrBN3 at its PBEsol-relaxed geometry. The functional is meta-GGA SCAN.

Results
* total moment: 4.00 μB/f.u.
* energy relative to the elements, uncorrected: 1.625 eV/atom
* calculated total energy: -0.851 Ry per atom
* volume: 74.7 Å³/cell

Geometry as CIF:
```
data_ZrBN3
_chemical_formula_sum 'Zr1 B1 N3'
_cell_length_a 4.2121
_cell_length_b 4.2121
_cell_length_c 4.2121
_cell_angle_alpha 90.00
_cell_angle_beta 90.00
_cell_angle_gamma 90.00
_symmetry_space_group_name_H-M 'P m -3 m'
_symmetry_Int_Tables_number 221
_symmetry_space_group_name_Hall '-P 4 2 3'
loop_
_atom_site_label
_atom_site_fract_x
_atom_site_fract_y
_atom_site_fract_z
Zr1 0.0000 0.0000 0.0000
B1 0.5000 0.5000 0.5000
N1 0.0000 0.0000 0.5000
```

---

3.
This record from Alexandria describes ZrBN2 at its PBEsol-relaxed geometry. The functional is meta-GGA SCAN.

Results
* total moment: 0.00 μB/f.u.
* energy relative to the elements, uncorrected: -1.026 eV/atom
* calculated total energy: -1.117 Ry per atom
* volume: 140.6 Å³/cell

Geometry as CIF:
```
data_ZrBN2
_chemical_formula_sum 'Zr4 B4 N8'
_cell_length_a 4.9613
_cell_length_b 4.9613
_cell_length_c 5.7105
_cell_angle_alpha 90.00
_cell_angle_beta 90.00
_cell_angle_gamma 90.00
_symmetry_space_group_name_H-M 'I -4 2 d'
_symmetry_Int_Tables_number 122
_symmetry_space_group_name_Hall 'I -4 2bw'
loop_
_atom_site_label
_atom_site_fract_x
_atom_site_fract_y
_atom_site_fract_z
Zr1 0.0000 0.0000 0.0000
B1 0.0000 0.0000 0.5000
N1 0.1409 0.2500 0.6250
```

---

4.
This record from Alexandria describes Na2B29 at its PBEsol-relaxed geometry. The functional is meta-GGA SCAN.

Results
* total moment: 0.00 μB/f.u.
* ΔE_f: -39.1 meV per atom
* calculated total energy: -0.534 Ry per atom
* volume: 493.3 Å³/cell

Geometry as CIF:
```
data_Na2B29
_chemical_formula_sum 'Na4 B58'
_cell_length_a 5.7889
_cell_length_b 10.2858
_cell_length_c 8.2840
_cell_angle_alpha 90.00
_cell_angle_beta 90.00
_cell_angle_gamma 90.00
_symmetry_space_group_name_H-M 'I m m 2'
_symmetry_Int_Tables_number 44
_symmetry_space_group_name_Hall 'I 2 -2'
loop_
_atom_site_label
_atom_site_fract_x
_atom_site_fract_y
_atom_site_fract_z
Na1 0.0000 0.0000 0.0000
Na2 0.0000 0.5000 0.3034
B1 0.0000 0.0839 0.6803
B2 0.0000 0.1269 0.2776
B3 0.0000 0.1527 0.4799
B4 0.0000 0.3433 0.8041
B5 0.0000 0.4031 0.0270
B6 0.0000 0.4156 0.6061
B7 0.0000 0.5000 0.8761
B8 0.1610 0.3036 0.4801
B9 0.1616 0.1952 0.8078
B10 0.2481 0.1696 0.6027
B11 0.2481 0.3299 0.6841
```

---

5.
This record from Alexandria describes Na3B20 at its PBEsol-relaxed geometry. The functional is meta-GGA SCAN.

Results
* total moment: 0.00 μB/f.u.
* ΔE_f: -105.0 meV per atom
* calculated total energy: -0.523 Ry per atom
* volume: 436.1 Å³/cell

Geometry as CIF:
```
data_Na3B20
_chemical_formula_sum 'Na6 B40'
_cell_length_a 5.6773
_cell_length_b 18.6339
_cell_length_c 4.1226
_cell_angle_alpha 90.00
_cell_angle_beta 90.00
_cell_angle_gamma 90.00
_symmetry_space_group_name_H-M 'C m m m'
_symmetry_Int_Tables_number 65
_symmetry_space_group_name_Hall '-C 2 2'
loop_
_atom_site_label
_atom_site_fract_x
_atom_site_fract_y
_atom_site_fract_z
Na1 0.0000 0.0000 0.0000
Na2 0.0000 0.3638 0.0000
B1 0.0000 0.1742 0.2083
B2 0.0000 0.2558 0.5000
B3 0.0000 0.5000 0.2009
B4 0.1498 0.1153 0.5000
B5 0.1559 0.4530 0.5000
B6 0.2296 0.2023 0.5000
```

---

6.
This record from Alexandria describes Na2ScNbB at its PBEsol-relaxed geometry. The functional is meta-GGA SCAN.

Results
* total moment: 0.69 μB/f.u.
* ΔE_f: 887.1 meV per atom
* calculated total energy: -0.864 Ry per atom
* volume: 101.3 Å³/cell

Geometry as CIF:
```
data_Na2ScNbB
_chemical_formula_sum 'Na2 Sc1 Nb1 B1'
_cell_length_a 4.7286
_cell_length_b 4.7286
_cell_length_c 4.5305
_cell_angle_alpha 90.00
_cell_angle_beta 90.00
_cell_angle_gamma 90.00
_symmetry_space_group_name_H-M 'P 4/m m m'
_symmetry_Int_Tables_number 123
_symmetry_space_group_name_Hall '-P 4 2'
loop_
_atom_site_label
_atom_site_fract_x
_atom_site_fract_y
_atom_site_fract_z
Na1 0.0000 0.5000 0.0000
Sc1 0.0000 0.0000 0.5000
Nb1 0.5000 0.5000 0.5000
B1 0.5000 0.5000 0.0000
```

---

7.
This record from Alexandria describes Na3NdB2O6 at its PBEsol-relaxed geometry. The functional is meta-GGA SCAN.

Results
* total moment: 0.00 μB/f.u.
* energy relative to the elements, uncorrected: -2.691 eV/atom
* calculated total energy: -0.862 Ry per atom
* volume: 586.9 Å³/cell

Geometry as CIF:
```
data_Na3NdB2O6
_chemical_formula_sum 'Na12 Nd4 B8 O24'
_cell_length_a 6.6036
_cell_length_b 8.7504
_cell_length_c 12.0488
_cell_angle_alpha 90.00
_cell_angle_beta 122.54
_cell_angle_gamma 90.00
_symmetry_space_group_name_H-M 'P 1 21/c 1'
_symmetry_Int_Tables_number 14
_symmetry_space_group_name_Hall '-P 2ybc'
loop_
_atom_site_label
_atom_site_fract_x
_atom_site_fract_y
_atom_site_fract_z
Na1 0.0795 0.1849 0.1047
Na2 0.0841 0.0600 0.3910
Na3 0.3253 0.7321 0.8437
Nd1 0.4876 0.6148 0.6445
B1 0.0831 0.1012 0.8625
B2 0.3669 0.5691 0.1256
O1 0.1152 0.6024 0.6289
O2 0.1241 0.2173 0.7985
O3 0.2498 0.5194 0.4139
O4 0.2888 0.0795 0.6176
O5 0.3148 0.6535 0.0166
O6 0.4950 0.6376 0.2500
```

---

8.
This record from Alexandria describes Na3Nd9B8O27 at its PBEsol-relaxed geometry. The functional is meta-GGA SCAN.

Results
* total moment: 0.00 μB/f.u.
* energy relative to the elements, uncorrected: -3.235 eV/atom
* calculated total energy: -1.227 Ry per atom
* volume: 557.1 Å³/cell

Geometry as CIF:
```
data_Na3Nd9B8O27
_chemical_formula_sum 'Na3 Nd9 B8 O27'
_cell_length_a 8.7441
_cell_length_b 8.7441
_cell_length_c 8.4136
_cell_angle_alpha 90.00
_cell_angle_beta 90.00
_cell_angle_gamma 120.00
_symmetry_space_group_name_H-M 'P -6 2 m'
_symmetry_Int_Tables_number 189
_symmetry_space_group_name_Hall 'P -6 -2'
loop_
_atom_site_label
_atom_site_fract_x
_atom_site_fract_y
_atom_site_fract_z
Na1 0.0000 0.3352 0.0000
Nd1 0.0000 0.2809 0.5000
Nd2 0.0000 0.6509 0.2351
B1 0.0000 0.0000 0.2138
B2 0.3333 0.6667 0.0000
B3 0.3333 0.6667 0.3239
O1 0.0000 0.1582 0.2162
O2 0.0000 0.7425 0.5000
O3 0.1761 0.5106 0.3170
O4 0.1799 0.6783 0.0000
```